[1]
The following is a meta-GGA SCAN calculation of a PBEsol-optimized structure of CaTl2ZnIr, from the Alexandria database.

Calculated formation energy (meV/atom): 24.0
VASP energy (eV per atom): -47.77
Space group: P4/mmm

Structure (CIF):
```
data_CaTl2ZnIr
_chemical_formula_sum 'Ca1 Tl2 Zn1 Ir1'
_symmetry_space_group_name_H-M 'P 1'
_symmetry_Int_Tables_number 1
_cell_length_a 5.199
_cell_length_b 5.199
_cell_length_c 5.343
_cell_angle_alpha 90.00
_cell_angle_beta 90.00
_cell_angle_gamma 90.00
loop_
_symmetry_equiv_pos_as_xyz
'x,y,z'
loop_
_atom_site_label
_atom_site_fract_x
_atom_site_fract_y
_atom_site_fract_z
Ca1 0.000 0.000 0.000
Tl1 0.000 0.500 0.500
Tl2 0.500 0.000 0.500
Zn1 0.500 0.500 0.000
Ir1 0.000 0.000 0.500
```

[2]
The following is a meta-GGA SCAN calculation of a PBEsol-optimized structure of Ca2IrW, from the Alexandria database.

Calculated formation energy (meV/atom): 569.4
VASP energy (eV per atom): -39.46
Space group: P4/mmm
Distance to the lowest polymorph of the same formula (eV per formula unit): 0.000

Structure (CIF):
```
data_Ca2IrW
_chemical_formula_sum 'Ca2 Ir1 W1'
_symmetry_space_group_name_H-M 'P 1'
_symmetry_Int_Tables_number 1
_cell_length_a 3.930
_cell_length_b 3.930
_cell_length_c 4.882
_cell_angle_alpha 90.00
_cell_angle_beta 90.00
_cell_angle_gamma 90.00
loop_
_symmetry_equiv_pos_as_xyz
'x,y,z'
loop_
_atom_site_label
_atom_site_fract_x
_atom_site_fract_y
_atom_site_fract_z
Ca1 0.000 0.500 0.000
Ca2 0.500 0.000 0.000
Ir1 0.000 0.000 0.500
W1 0.500 0.500 0.500
```

[3]
The following is a meta-GGA SCAN calculation of a PBEsol-optimized structure of CaIrW3, from the Alexandria database.

Calculated formation energy (meV/atom): 3503.2
VASP energy (eV per atom): -54.46
Space group: Pm-3m

Structure (CIF):
```
data_CaIrW3
_chemical_formula_sum 'Ca1 Ir1 W3'
_symmetry_space_group_name_H-M 'P 1'
_symmetry_Int_Tables_number 1
_cell_length_a 4.420
_cell_length_b 4.420
_cell_length_c 4.420
_cell_angle_alpha 90.00
_cell_angle_beta 90.00
_cell_angle_gamma 90.00
loop_
_symmetry_equiv_pos_as_xyz
'x,y,z'
loop_
_atom_site_label
_atom_site_fract_x
_atom_site_fract_y
_atom_site_fract_z
Ca1 0.000 0.000 0.000
Ir1 0.500 0.500 0.500
W1 0.000 0.000 0.500
W2 0.000 0.500 0.000
W3 0.500 0.000 0.000
```

Total magnetic moment values (in μB/atom) by entry order: 0.00, 0.00, 0.00.